1.
First-principles (PBE) data for crystalline PaSe2Cl2 at its relaxed geometry, as listed in the Open Quantum Materials Database.

Computed properties:
Total magnetic moment   1.09 Bohr magnetons per cell
SG   C2/m (12)

```
10
Lattice="3.316 -6.527 0.000 3.316 6.527 0.000 -2.351 0.000 6.335" Properties=species:S:1:pos:R:3 pbc="T T T"
Pa 3.316 4.722 0.000
Pa 3.316 -4.722 0.000
Se -0.023 0.000 2.256
Se 2.112 0.000 0.786
Se 2.169 0.000 5.549
Se 4.304 0.000 4.079
Cl -0.270 2.819 4.790
Cl -0.270 -2.819 4.790
Cl 4.551 2.819 1.545
Cl 4.551 -2.819 1.545
```


2.
First-principles (PBE) data for crystalline CsAs5Pd3 at its relaxed geometry, as listed in the Open Quantum Materials Database.

Computed properties:
SG   P6/mmm (191)

```
9
Lattice="5.550 0.000 0.000 -2.775 4.806 0.000 0.000 0.000 8.299" Properties=species:S:1:pos:R:3 pbc="T T T"
Cs 0.000 0.000 0.000
As 0.000 0.000 4.150
As 0.000 3.204 2.153
As 0.000 3.204 6.146
As 2.775 1.602 2.153
As 2.775 1.602 6.146
Pd -1.387 2.403 4.150
Pd 2.775 0.000 4.150
Pd 1.387 2.403 4.150
```


3.
First-principles (PBE) data for crystalline SrScZn at its relaxed geometry, as listed in the Open Quantum Materials Database.

Computed properties:
Total magnetic moment   0.02 Bohr magnetons per cell
SG   F-43m (216)

```
3
Lattice="0.000 3.598 3.598 3.598 0.000 3.598 3.598 3.598 0.000" Properties=species:S:1:pos:R:3 pbc="T T T"
Sr 0.000 0.000 0.000
Sc 5.397 5.397 5.397
Zn 1.799 1.799 1.799
```


4.
First-principles (PBE) data for crystalline SrTl3Au3 at its relaxed geometry, as listed in the Open Quantum Materials Database.

Computed properties:
SG   Pmmn (59)

```
14
Lattice="4.645 0.000 0.000 0.000 8.133 0.000 0.000 0.000 9.577" Properties=species:S:1:pos:R:3 pbc="T T T"
Sr 1.161 2.033 2.083
Sr 3.484 6.100 7.494
Tl 1.161 0.387 5.951
Tl 1.161 3.679 5.951
Tl 1.161 6.100 1.351
Tl 3.484 2.033 8.226
Tl 3.484 4.454 3.626
Tl 3.484 7.746 3.626
Au 1.161 0.050 8.753
Au 1.161 4.017 8.753
Au 1.161 6.100 4.413
Au 3.484 2.033 5.165
Au 3.484 4.117 0.825
Au 3.484 8.083 0.825
```


5.
First-principles (PBE) data for crystalline ScInCoHg at its relaxed geometry, as listed in the Open Quantum Materials Database.

Computed properties:
Total magnetic moment   0.01 Bohr magnetons per cell
SG   F-43m (216)

```
4
Lattice="0.000 3.315 3.315 3.315 0.000 3.315 3.315 3.315 0.000" Properties=species:S:1:pos:R:3 pbc="T T T"
Sc 0.000 0.000 0.000
In 1.657 1.657 1.657
Co 3.315 3.315 3.315
Hg 4.972 4.972 4.972
```


6.
First-principles (PBE) data for crystalline GdAsOs at its relaxed geometry, as listed in the Open Quantum Materials Database.

Computed properties:
Total magnetic moment   0.01 Bohr magnetons per cell
SG   F-43m (216)

```
3
Lattice="0.000 3.279 3.279 3.279 0.000 3.279 3.279 3.279 0.000" Properties=species:S:1:pos:R:3 pbc="T T T"
Gd 0.000 0.000 0.000
As 4.919 4.919 4.919
Os 1.640 1.640 1.640
```


7.
First-principles (PBE) data for crystalline YBeFeSn at its relaxed geometry, as listed in the Open Quantum Materials Database.

Computed properties:
Total magnetic moment   1.40 Bohr magnetons per cell
SG   F-43m (216)

```
4
Lattice="0.000 3.245 3.245 3.245 0.000 3.245 3.245 3.245 0.000" Properties=species:S:1:pos:R:3 pbc="T T T"
Y 0.000 0.000 0.000
Be 1.622 1.622 1.622
Fe 4.867 4.867 4.867
Sn 3.245 3.245 3.245
```


8.
First-principles (PBE) data for crystalline Gd2DyMg3TlGa2 at its relaxed geometry, as listed in the Open Quantum Materials Database.

Computed properties:
Total magnetic moment   0.00 Bohr magnetons per cell
SG   Amm2 (38)

```
9
Lattice="4.570 0.000 0.000 0.000 6.367 3.688 0.000 -6.367 3.688" Properties=species:S:1:pos:R:3 pbc="T T T"
Gd 0.000 -3.586 3.688
Gd 0.000 3.586 3.688
Dy 0.000 0.000 4.833
Mg 2.285 -1.589 2.536
Mg 2.285 1.589 2.536
Mg 2.285 0.000 7.145
Tl 0.000 0.000 1.624
Ga 2.285 -2.112 5.300
Ga 2.285 2.112 5.300
```


9.
First-principles (PBE) data for crystalline Cu5Ag4 at its relaxed geometry, as listed in the Open Quantum Materials Database.

Computed properties:
SG   Cm (8)

```
9
Lattice="7.187 -1.398 0.000 7.187 1.398 0.000 -0.122 0.000 6.585" Properties=species:S:1:pos:R:3 pbc="T T T"
Cu 0.000 0.000 0.000
Cu 4.944 0.000 0.052
Cu 7.859 0.000 2.005
Cu 9.305 0.000 6.548
Cu 12.833 0.000 2.043
Ag 1.483 0.000 4.296
Ag 3.189 0.000 2.033
Ag 6.286 0.000 4.306
Ag 11.088 0.000 4.499
```


10.
First-principles (PBE) data for crystalline SrAu4 at its relaxed geometry, as listed in the Open Quantum Materials Database.

Computed properties:
SG   I4/mmm (139)

```
5
Lattice="-2.212 2.212 5.874 2.212 -2.212 5.874 2.212 2.212 -5.874" Properties=species:S:1:pos:R:3 pbc="T T T"
Sr 0.000 0.000 0.000
Au 2.212 0.000 2.937
Au 0.000 0.000 4.581
Au 0.000 0.000 7.168
Au 0.000 2.212 2.937
```


11.
First-principles (PBE) data for crystalline Na2Nb2AlInIr2 at its relaxed geometry, as listed in the Open Quantum Materials Database.

Computed properties:
Total magnetic moment   0.00 Bohr magnetons per cell
SG   P-4m2 (115)

```
8
Lattice="4.538 0.000 0.000 0.000 4.538 0.000 0.000 0.000 6.460" Properties=species:S:1:pos:R:3 pbc="T T T"
Na 0.000 2.269 1.578
Na 2.269 0.000 4.881
Nb 0.000 0.000 0.000
Nb 2.269 2.269 3.230
Al 2.269 2.269 0.000
In 0.000 0.000 3.230
Ir 0.000 2.269 4.917
Ir 2.269 0.000 1.542
```


12.
First-principles (PBE) data for crystalline TbSe2O6 at its relaxed geometry, as listed in the Open Quantum Materials Database.

Computed properties:
Total magnetic moment   0.30 Bohr magnetons per cell
SG   P2_1/c (14)

```
18
Lattice="4.928 0.000 0.000 0.000 9.189 0.000 -1.270 0.000 6.234" Properties=species:S:1:pos:R:3 pbc="T T T"
Tb 0.000 0.000 0.000
Tb -0.635 4.595 3.117
Se 1.216 1.627 4.140
Se 1.851 2.968 1.023
Se 1.807 6.221 5.211
Se 2.442 7.562 2.094
O 0.092 0.407 4.493
O 0.727 4.188 1.376
O 0.987 1.525 1.324
O 0.352 3.070 4.441
O 0.752 6.238 3.861
O 1.387 7.546 0.744
O 2.271 1.643 5.490
O 2.906 2.951 2.373
O 3.305 6.119 1.793
O 2.670 7.665 4.910
O 2.931 5.001 4.858
O 3.566 8.782 1.741
```


| no. | volume (Å³/atom) | energy (eV/atom) |
| --- | --- | --- |
| 1 | 27.4 | -5.4256 |
| 2 | 24.6 | -4.5551 |
| 3 | 31.0 | -2.2747 |
| 4 | 25.8 | -2.9436 |
| 5 | 18.2 | -4.1722 |
| 6 | 23.5 | -6.1966 |
| 7 | 17.1 | -5.5652 |
| 8 | 23.8 | -3.4433 |
| 9 | 14.7 | -3.2160 |
| 10 | 23.0 | -3.3821 |
| 11 | 16.6 | -6.0014 |
| 12 | 15.7 | -6.0537 |